Computed, not measured: Rb2YAu2 after structural relaxation at the GGA-PBE level of DFT.

Summary:
Formation energy from the elements in meV/atom: -149
Total energy in eV/atom: -3.14
Mass density in Mg/m³: 6.29

a b c (Å): 7.697 7.697 5.830
angles (deg): 90.00 90.00 90.00
Space group P4/mbm (No. 127)
Unique sites:
Rb  0.168  0.332  0.000 (multiplicity 4)
Y  0.000  0.000  0.500 (multiplicity 2)
Au  0.132  0.632  0.500 (multiplicity 4)